1.
! Na2SnHPd6 PBE-GGA relaxed; values from VASP
! **Density of states at the Fermi level**: 0.3804 states/eV per atom
! **Symmetry**: No. 2
! **Electronic total energy**: -0.1590 hartree per atom
! **V**: 17.41 Å³/atom
&SYSTEM
  ibrav = 0, nat = 10, ntyp = 4
/
ATOMIC_SPECIES
Na 22.99 Na.upf
Sn 118.71 Sn.upf
H 1.01 H.upf
Pd 106.42 Pd.upf
CELL_PARAMETERS angstrom
-0.2178 5.2507 2.2882
-5.9495 1.3813 -3.6541
-6.5755 2.0691 1.8417
ATOMIC_POSITIONS angstrom
Na -5.5116 5.3590 1.5685
Na -7.2313 3.3421 -1.0927
Sn 0.0000 0.0000 0.0000
H -3.0837 3.3160 -0.6829
Pd -4.5552 2.7904 0.3715
Pd -10.5568 7.1776 0.6853
Pd -10.4427 4.4764 -0.4970
Pd -2.3002 4.2247 0.9728
Pd -2.1861 1.5234 -0.2095
Pd -8.1877 5.9107 0.1043

***

2.
! ZrBiOs2O PBE-GGA relaxed; values from VASP
! **Density of states at the Fermi level**: 0.8788 states/eV per atom
! **E_form (uncorrected)**: 0.199 eV/atom
! **Symmetry**: No. 123
! **Electronic total energy**: -0.2856 hartree per atom
! **V**: 16.39 Å³/atom
&SYSTEM
  ibrav = 0, nat = 5, ntyp = 4
/
ATOMIC_SPECIES
O 16.00 O.upf
Os 190.23 Os.upf
Bi 208.98 Bi.upf
Zr 91.22 Zr.upf
CELL_PARAMETERS angstrom
-3.0049 -0.4395 -3.0213
-2.4974 -2.3864 2.8310
-1.8929 3.5942 1.3599
ATOMIC_POSITIONS angstrom
O 0.0000 0.0000 0.0000
Os -0.9465 1.7971 0.6799
Os -1.5025 -0.2197 -1.5106
Bi -3.6976 0.3842 0.5848
Zr -1.2487 -1.1932 1.4155

***

3.
! CrHg2Br PBE-GGA relaxed; values from VASP
! **Density of states at the Fermi level**: 0.9820 states/eV per atom
! **E_form (uncorrected)**: 0.434 eV/atom
! **Symmetry**: No. 225
! **Electronic total energy**: -0.0934 hartree per atom
! **V**: 26.26 Å³/atom
&SYSTEM
  ibrav = 0, nat = 4, ntyp = 3
/
ATOMIC_SPECIES
Br 79.90 Br.upf
Cr 52.00 Cr.upf
Hg 200.59 Hg.upf
CELL_PARAMETERS angstrom
5.2964 0.0000 0.0000
2.6482 4.5868 0.0000
2.6482 1.5289 4.3245
ATOMIC_POSITIONS angstrom
Br 0.0000 0.0000 0.0000
Cr 5.2964 3.0579 2.1622
Hg 2.6482 1.5289 1.0811
Hg 7.9446 4.5868 3.2434

***

4.
! MgAlAg2S4 PBE-GGA relaxed; values from VASP
! **Density of states at the Fermi level**: 0.9837 states/eV per atom
! **E_form (uncorrected)**: -0.669 eV/atom
! **Symmetry**: No. 82
! **Electronic total energy**: -0.1511 hartree per atom
! **V**: 22.58 Å³/atom
&SYSTEM
  ibrav = 0, nat = 8, ntyp = 4
/
ATOMIC_SPECIES
Mg 24.30 Mg.upf
Al 26.98 Al.upf
Ag 107.87 Ag.upf
S 32.06 S.upf
CELL_PARAMETERS angstrom
-0.1436 1.6610 5.4849
3.6668 -4.1914 1.3661
2.4590 4.6606 -4.3450
ATOMIC_POSITIONS angstrom
Mg 3.7516 0.3380 2.9889
Al 4.0295 4.1299 1.8495
Ag 5.9355 1.2043 -0.2101
Ag 1.9913 1.6011 -0.4336
S 3.9282 1.9729 1.1565
S 1.7775 0.8186 4.3834
S 3.4980 -1.9408 2.0872
S 2.2844 3.0252 -2.5098